No. 1
An optimized crystal structure of LiZrSi. Source: the Alexandria database, functional PBE.

- uncorrected energy (eV per atom) = -5.44
- spin magnetization (μB per formula unit) = 0.00
- density of states at the Fermi level (states/eV per atom) = 0.97

Cell lengths 3.0915, 3.0915, 10.5400 Å; angles 90.00, 90.00, 90.00 degrees
With the nearest neighbours (Å) after each atom.
Space group I4mm (No. 107)
Unique sites:
1 Li 0.0000 0.0000 0.0000 [2 per cell]  4 Si 2.55
2 Zr 0.0000 0.0000 0.7001 [2 per cell]  4 Si 2.86, 5 Li 3.04-3.16, 4 Zr 3.09
3 Si 0.0000 0.0000 0.3753 [2 per cell]  4 Li 2.55

---

No. 2
An optimized crystal structure of LiZrSi2. Source: the Alexandria database, functional PBE.

- spin magnetization (μB per formula unit) = 0.00
- excess energy over the best structure of this formula in the dataset (meV per atom) = 321
- density of states at the Fermi level (states/eV per atom) = 0.68

Cell lengths 6.9482, 6.9482, 5.4551 Å; angles 90.00, 90.00, 90.00 degrees
With the nearest neighbours (Å) after each atom.
Space group I-42d (No. 122)
Unique sites:
1 Li 0.0000 0.0000 0.0000 [4 per cell]  4 Si 2.38
2 Zr 0.0000 0.0000 0.5000 [4 per cell]  2 Li 2.73, 4 Si 2.73
3 Si 0.2127 0.2500 0.1250 [8 per cell]  2 Li 2.38

---

No. 3
An optimized crystal structure of LiZrSi. Source: the Alexandria database, functional PBE.

- uncorrected energy (eV per atom) = -5.09
- spin magnetization (μB per formula unit) = 0.00
- density of states at the Fermi level (states/eV per atom) = 0.65

Cell lengths 6.2876, 6.2876, 6.2876 Å; angles 90.00, 90.00, 90.00 degrees
With the nearest neighbours (Å) after each atom.
Space group F-43m (No. 216)
Unique sites:
1 Li 0.0000 0.0000 0.0000 [4 per cell]  4 Zr 2.72
2 Zr 0.2500 0.2500 0.7500 [4 per cell]  4 Li 2.72, 4 Si 2.72
3 Si 0.0000 0.0000 0.5000 [4 per cell]  4 Zr 2.72

---

No. 4
An optimized crystal structure of LiZrSi2. Source: the Alexandria database, functional PBE.

- spin magnetization (μB per formula unit) = 0.00
- excess energy over the best structure of this formula in the dataset (meV per atom) = 1
- density of states at the Fermi level (states/eV per atom) = 0.33

Cell lengths 4.0087, 4.0087, 3.8951 Å; angles 90.00, 90.00, 90.00 degrees
With the nearest neighbours (Å) after each atom.
Space group P4/mmm (No. 123)
Unique sites:
1 Li 0.0000 0.0000 0.0000 [1 per cell]  8 Si 2.79, 4 Zr 2.83
2 Zr 0.5000 0.5000 0.0000 [1 per cell]  8 Si 2.79, 4 Li 2.83
3 Si 0.0000 0.5000 0.5000 [2 per cell]  4 Zr 2.79, 4 Li 2.79, 4 Si 2.83

---

No. 5
An optimized crystal structure of LiZr2Si. Source: the Alexandria database, functional PBE.

- uncorrected energy (eV per atom) = -6.26
- spin magnetization (μB per formula unit) = 0.00
- density of states at the Fermi level (states/eV per atom) = 0.81

Cell lengths 2.9954, 2.9954, 8.8498 Å; angles 90.00, 90.00, 90.00 degrees
With the nearest neighbours (Å) after each atom.
Space group P4/mmm (No. 123)
Unique sites:
1 Li 0.0000 0.0000 0.0000 [1 per cell]  4 Li 3.00, 8 Zr 3.34
2 Zr 0.5000 0.5000 0.2914 [2 per cell]  4 Si 2.81, 4 Zr 3.00
3 Si 0.0000 0.0000 0.5000 [1 per cell]  8 Zr 2.81, 4 Si 3.00

---

No. 6
An optimized crystal structure of Li2ZrSi. Source: the Alexandria database, functional PBE.

- uncorrected energy (eV per atom) = -4.60
- spin magnetization (μB per formula unit) = 0.00
- density of states at the Fermi level (states/eV per atom) = 0.67

Cell lengths 3.0220, 3.0220, 7.6487 Å; angles 90.00, 90.00, 90.00 degrees
With the nearest neighbours (Å) after each atom.
Space group P4mm (No. 99)
Unique sites:
1 Li 0.0000 0.0000 0.0000 [1 per cell]  8 Li 2.84-3.02
2 Li 0.5000 0.5000 0.2448 [1 per cell]  4 Si 2.61, 4 Li 2.84
3 Zr 0.5000 0.5000 0.6834 [1 per cell]  4 Si 2.83, 4 Zr 3.02
4 Si 0.0000 0.0000 0.4409 [1 per cell]  4 Li 2.61, 4 Zr 2.83

---

No. 7
An optimized crystal structure of LiZr2Si. Source: the Alexandria database, functional PBE.

- uncorrected energy (eV per atom) = -6.33
- spin magnetization (μB per formula unit) = 0.00
- density of states at the Fermi level (states/eV per atom) = 0.41

Cell lengths 3.5971, 3.5971, 5.6328 Å; angles 90.00, 90.00, 90.00 degrees
With the nearest neighbours (Å) after each atom.
Space group P4/mmm (No. 123)
Unique sites:
1 Li 0.0000 0.0000 0.0000 [1 per cell]  2 Si 2.82, 8 Zr 2.92
2 Zr 0.5000 0.5000 0.2563 [2 per cell]  2 Zr 2.75-2.89, 4 Si 2.89, 4 Li 2.92
3 Si 0.0000 0.0000 0.5000 [1 per cell]  2 Li 2.82, 8 Zr 2.89

---

No. 8
An optimized crystal structure of LiZr2Si. Source: the Alexandria database, functional PBE.

- uncorrected energy (eV per atom) = -5.96
- spin magnetization (μB per formula unit) = 2.69
- density of states at the Fermi level (states/eV per atom) = 1.01

Cell lengths 6.7259, 6.7259, 6.7259 Å; angles 90.00, 90.00, 90.00 degrees
With the nearest neighbours (Å) after each atom.
Space group F-43m (No. 216)
Unique sites:
1 Li 0.0000 0.0000 0.0000 [4 per cell]  4 Zr 2.91, 4 Si 2.91
2 Zr 0.0000 0.0000 0.5000 [4 per cell]  4 Zr 2.91, 4 Si 2.91
3 Zr 0.2500 0.2500 0.7500 [4 per cell]  4 Zr 2.91, 4 Li 2.91
4 Si 0.2500 0.2500 0.2500 [4 per cell]  4 Zr 2.91, 4 Li 2.91